[1]
Density functional theory data (GGA-PBE) for a relaxed structure of TlVPt2N.

abc: 5.0987 5.0987 4.0972
angles: 90.00 90.00 90.00
Fractional coordinates of all 5 atoms:
Tl  0.0000  0.0000  0.0000
V  0.5000  0.5000  0.5000
Pt  0.0000  0.5000  0.0000
Pt  0.5000  0.0000  0.0000
N  0.0000  0.0000  0.5000

As for the symmetry: P4/mmm.

***

[2]
Density functional theory data (GGA-PBE) for a relaxed structure of TlZn2PtN.

abc: 5.2247 5.2247 3.7279
angles: 90.00 90.00 90.00
Fractional coordinates of all 5 atoms:
Tl  0.0000  0.0000  0.0000
Zn  0.0000  0.5000  0.5000
Zn  0.5000  0.0000  0.5000
Pt  0.5000  0.5000  0.5000
N  0.5000  0.5000  0.0000

As for the symmetry: P4/mmm.

***

Looking at E for the records above, in order, we have -4.369, -3.473 eV/atom.